This record from Alexandria via LeMat-Bulk describes a geometry-optimized Li3Fe2Si2O8 structure. The functional is PBE+U.

- Size of the total moment: 9.0 μB per formula unit
- Offset from the most stable computed form: 0.33 eV per formula unit

Lattice parameters (Å, degrees): 11.0933 5.2167 6.1657 89.22 90.00 90.00
With the nearest neighbours (Å) after each atom.
Sites, in units of the cell vectors:
Li 0.1648 0.4532 0.2341  4 O 1.95-2.10
Li 0.6648 0.5468 0.7659  4 O 1.95-2.10
Li 0.8289 0.0399 0.7585  3 O 1.93-2.07
Li 0.3302 0.9455 0.7646  4 O 1.89-2.12
Li 0.3289 0.9601 0.2415  3 O 1.93-2.07
Li 0.8302 0.0545 0.2354  4 O 1.89-2.12
Fe 0.4242 0.5587 0.5059  4 O 1.87-1.95
Fe 0.9242 0.4413 0.4941  4 O 1.87-1.95
Fe 0.5791 0.9362 0.0294  4 O 1.96-2.08
Fe 0.0791 0.0638 0.9706  4 O 1.96-2.08
Si 0.5877 0.0578 0.5157  4 O 1.62-1.68
Si 0.0877 0.9422 0.4843  4 O 1.62-1.68
Si 0.4181 0.4378 0.0035  4 O 1.62-1.70
Si 0.9181 0.5622 0.9965  4 O 1.62-1.70
O 0.1590 0.0525 0.2694  1 Si 1.64
O 0.6659 0.9965 0.3015  1 Si 1.62
O 0.0657 0.6303 0.4565  1 Si 1.66
O 0.4494 0.9273 0.4970  1 Si 1.68
O 0.5657 0.3697 0.5435  1 Si 1.66
O 0.9494 0.0727 0.5030  1 Si 1.68
O 0.1659 0.0035 0.6985  1 Si 1.62
O 0.6590 0.9475 0.7306  1 Si 1.64
O 0.8420 0.4639 0.7731  1 Si 1.70
O 0.3485 0.5515 0.7827  1 Si 1.67
O 0.5545 0.5479 0.0117  1 Si 1.62
O 0.0545 0.4521 0.9883  1 Si 1.62
O 0.4134 0.1215 0.0024  1 Si 1.65
O 0.9134 0.8785 0.9976  1 Si 1.65
O 0.3420 0.5361 0.2269  1 Si 1.70
O 0.8485 0.4485 0.2173  1 Si 1.67